{
  "formula": "VAsH2",
  "functional": "GGA-PBE",
  "state": "relaxed",
  "sg": "Fm-3m (225)",
  "dos_ef_per_ev_cell": 1.637,
  "polymorph_energy_ev_per_atom": 0.218,
  "cell": [[-0.997, -1.546, 3.328], [-1.107, 2.228, 2.876], [-3.642, 0.025, 1.093]],
  "species": ["H", "H", "As", "V"],
  "fractional_positions": [[0.250, 0.250, 0.250], [0.750, 0.750, 0.750], [0.500, 0.500, 0.500], [0.000, 0.000, 0.000]]
}